Material: PuMo2O6
Method: DFT, PBE with a Hubbard U
State: optimized geometry

Unit cell a=4.8889 b=4.8889 c=9.8787 alpha=90.00 beta=90.00 gamma=90.00
Last column: nearest neighbours and their distance in Å.
Space group P4_2/mnm (No. 136)
Unique sites:
Pu (0.0000, 0.0000, 0.0000)  6 O 2.17-2.20
Mo (0.0000, 0.0000, 0.3323)  6 O 2.07-2.10
O (0.1866, 0.1866, 0.5000)  2 Mo 2.10, 1 Pu 2.17
O (0.2008, 0.2008, 0.1726)  2 Mo 2.07-2.10, 1 Pu 2.20

Summary:
Energy = -8.633 eV per atom
Total magnetization = 0.8889 μB/atom
V = 13.117 Å³ per atom
Fermi-level density of states = 0.57 states/eV/atom